(1)
Computed, not measured: a relaxed BeTlNi crystal at the PBE level of DFT.

crystal system = cubic
uncorrected energy = -3.2522 eV/atom

```
data_BeTlNi
_symmetry_space_group_name_H-M 'P 1'
_symmetry_Int_Tables_number 1
_cell_length_a 4.1785
_cell_length_b 4.1785
_cell_length_c 4.1785
_cell_angle_alpha 60.00
_cell_angle_beta 60.00
_cell_angle_gamma 60.00
loop_
_symmetry_equiv_pos_as_xyz
'x,y,z'
loop_
_atom_site_label
_atom_site_fract_x
_atom_site_fract_y
_atom_site_fract_z
Tl1 0.7500 0.7500 0.7500
Ni1 0.5000 0.5000 0.5000
Be1 0.0000 0.0000 0.0000
```

(2)
Computed, not measured: a relaxed Pm5Er4Pu crystal at the PBE level of DFT.

crystal system = monoclinic
uncorrected energy = -5.5719 eV/atom

```
data_Pm5Er4Pu
_symmetry_space_group_name_H-M 'P 1'
_symmetry_Int_Tables_number 1
_cell_length_a 3.5281
_cell_length_b 11.4176
_cell_length_c 8.6470
_cell_angle_alpha 108.56
_cell_angle_beta 101.77
_cell_angle_gamma 90.00
loop_
_symmetry_equiv_pos_as_xyz
'x,y,z'
loop_
_atom_site_label
_atom_site_fract_x
_atom_site_fract_y
_atom_site_fract_z
Er1 0.0816 0.2880 0.1631
Er2 0.6046 0.7991 0.2093
Er3 0.3954 0.2009 0.7907
Er4 0.9184 0.7120 0.8369
Pm1 0.7892 0.3848 0.5783
Pm2 0.2108 0.6152 0.4217
Pm3 0.1862 0.0768 0.3723
Pm4 0.8138 0.9232 0.6277
Pm5 0.5000 0.5000 0.0000
Pu1 0.5000 0.0000 0.0000
```

(3)
Computed, not measured: a relaxed Dy4SiBiSe2 crystal at the PBE level of DFT.

crystal system = monoclinic
formation energy from raw total energies = -1295 meV per atom

```
data_Dy4SiBiSe2
_symmetry_space_group_name_H-M 'P 1'
_symmetry_Int_Tables_number 1
_cell_length_a 4.1987
_cell_length_b 7.2415
_cell_length_c 7.3542
_cell_angle_alpha 70.56
_cell_angle_beta 90.00
_cell_angle_gamma 90.00
loop_
_symmetry_equiv_pos_as_xyz
'x,y,z'
loop_
_atom_site_label
_atom_site_fract_x
_atom_site_fract_y
_atom_site_fract_z
Si1 0.0000 0.5000 0.5000
Dy1 0.5000 0.2579 0.7325
Dy2 0.5000 0.7421 0.2675
Dy3 0.0000 0.7518 0.7305
Dy4 0.0000 0.2482 0.2695
Bi1 0.5000 0.5000 0.0000
Se1 0.0000 0.0000 0.0000
Se2 0.5000 0.0000 0.5000
```

Number 1: volume 51.59 Å³/cell. Number 2: volume 322.47 Å³/cell. Number 3: volume 210.85 Å³/cell.